Compound: CsAlCoC2
Source: the Alexandria database
Functional: PBE
Structure: optimized geometry

The structure in POSCAR format:
```
CsAlCoC2
1.0
4.6072 0.0000 0.0000
0.0000 4.9860 0.0000
0.0000 0.0000 4.6072
Cs C Co Al
1 2 1 1
Direct
0.0000 0.0000 0.0000
0.0000 0.0000 0.5000
0.5000 0.0000 0.0000
0.0000 0.5000 0.0000
0.5000 0.5000 0.5000
```

Computed properties:
Energy: -2.4944 eV per atom
DFT formation energy: 3535.5 meV/atom
Magnetic moment: 0.64 μB/atom